Computed, not measured: Y7Co6Sn23 at its PBEsol-relaxed geometry at the meta-GGA SCAN level of DFT.

- DOS at the Fermi energy (states/eV per cell) = 8.3
- formation energy (eV/f.u.) = -14.917
- calculated volume (Å³ per cell) = 773.3
- spin magnetization (μB per cell) = 0.0

Cell lengths 9.5511, 9.5511, 9.7882 Å; angles 90.00, 90.00, 120.00 degrees
With the nearest neighbours (Å) after each atom.
Space group P-3m1 (No. 164)
One atom of each set of equivalent atoms:
Y  0.0000  0.0000  0.0000 (multiplicity 1)  12 Sn 3.31, 6 Co 3.39
Y  0.0445  0.5223  0.3068 (multiplicity 6)  10 Sn 3.05-3.36, 2 Co 3.14
Co  0.1680  0.3359  0.8023 (multiplicity 6)  6 Sn 2.55-2.74
Sn  0.0000  0.0000  0.5000 (multiplicity 1)  6 Sn 2.94
Sn  0.0000  0.3468  0.0000 (multiplicity 6)  2 Co 2.55
Sn  0.1172  0.2345  0.2738 (multiplicity 6)  2 Co 2.58
Sn  0.2175  0.4350  0.5477 (multiplicity 6)  1 Co 2.62
Sn  0.3333  0.6667  0.1134 (multiplicity 2)  1 Sn 2.89, 3 Y 3.05
Sn  0.3333  0.6667  0.8185 (multiplicity 2)  3 Co 2.74, 1 Sn 2.89



Computed, not measured: LaZrAu3 at its PBEsol-relaxed geometry at the meta-GGA SCAN level of DFT.

- DOS at the Fermi energy (states/eV per cell) = 4.8
- formation energy (eV/f.u.) = -1.479
- calculated volume (Å³ per cell) = 132.7
- spin magnetization (μB per cell) = 0.4

Cell lengths 5.1002, 5.1002, 5.1002 Å; angles 90.00, 90.00, 90.00 degrees
With the nearest neighbours (Å) after each atom.
Space group Pm-3m (No. 221)
One atom of each set of equivalent atoms:
La  0.0000  0.0000  0.0000 (multiplicity 1)  12 Au 3.61
Zr  0.5000  0.5000  0.5000 (multiplicity 1)  6 Au 2.55
Au  0.0000  0.5000  0.5000 (multiplicity 3)  2 Zr 2.55



Computed, not measured: As2PtPb at its PBEsol-relaxed geometry at the meta-GGA SCAN level of DFT.

- DOS at the Fermi energy (states/eV per cell) = 1.8
- formation energy (eV/f.u.) = 0.142
- calculated volume (Å³ per cell) = 81.3
- spin magnetization (μB per cell) = 0.0

Cell lengths 3.3120, 3.3120, 7.4099 Å; angles 90.00, 90.00, 90.00 degrees
With the nearest neighbours (Å) after each atom.
Space group P4/mmm (No. 123)
One atom of each set of equivalent atoms:
As  0.0000  0.0000  0.1837 (multiplicity 2)  4 Pt 2.71, 1 As 2.72
Pt  0.5000  0.5000  0.0000 (multiplicity 1)  8 As 2.71
Pb  0.5000  0.5000  0.5000 (multiplicity 1)  4 Pb 3.31, 8 As 3.31, 2 Pt 3.70



Computed, not measured: BaH2Pb at its PBEsol-relaxed geometry at the meta-GGA SCAN level of DFT.

- DOS at the Fermi energy (states/eV per cell) = 3.3
- calculated volume (Å³ per cell) = 340.8
- raw total energy (eV per atom) = -30.625
- spin magnetization (μB per cell) = 0.0

Cell lengths 5.1753, 5.1753, 12.7252 Å; angles 90.00, 90.00, 90.00 degrees
With the nearest neighbours (Å) after each atom.
Space group I-42d (No. 122)
One atom of each set of equivalent atoms:
Ba  0.0000  0.0000  0.0000 (multiplicity 4)  4 H 2.59
H  0.1948  0.2500  0.6250 (multiplicity 8)  2 Pb 2.28
Pb  0.0000  0.0000  0.5000 (multiplicity 4)  4 H 2.28



Computed, not measured: LiCuNi2 at its PBEsol-relaxed geometry at the meta-GGA SCAN level of DFT.

- DOS at the Fermi energy (states/eV per cell) = 3.6
- formation energy (eV/f.u.) = 0.328
- calculated volume (Å³ per cell) = 42.5
- spin magnetization (μB per cell) = 1.1

Cell lengths 3.4330, 3.4330, 3.6055 Å; angles 90.00, 90.00, 90.00 degrees
With the nearest neighbours (Å) after each atom.
Space group P4/mmm (No. 123)
One atom of each set of equivalent atoms:
Li  0.0000  0.0000  0.0000 (multiplicity 1)  4 Cu 2.43, 8 Ni 2.49
Cu  0.5000  0.5000  0.0000 (multiplicity 1)  4 Li 2.43, 8 Ni 2.49
Ni  0.0000  0.5000  0.5000 (multiplicity 2)  4 Ni 2.43, 4 Li 2.49, 4 Cu 2.49



Computed, not measured: MgSb2Te at its PBEsol-relaxed geometry at the meta-GGA SCAN level of DFT.

- DOS at the Fermi energy (states/eV per cell) = 3.8
- energy above the lowest structure with this stoichiometry (meV per atom) = 38
- calculated volume (Å³ per cell) = 203.4
- spin magnetization (μB per cell) = 0.0

Cell lengths 3.6614, 5.2119, 10.6574 Å; angles 90.00, 90.00, 90.00 degrees
With the nearest neighbours (Å) after each atom.
Space group Imm2 (No. 44)
One atom of each set of equivalent atoms:
Mg  0.0000  0.0000  0.0000 (multiplicity 2)  2 Te 3.15, 6 Sb 3.18-3.33
Sb  0.0000  0.0000  0.4990 (multiplicity 2)  2 Sb 3.13, 4 Mg 3.18, 2 Te 3.32
Sb  0.0000  0.5000  0.7613 (multiplicity 2)  2 Sb 3.13, 4 Te 3.18, 2 Mg 3.33
Te  0.0000  0.5000  0.2592 (multiplicity 2)  2 Mg 3.15, 6 Sb 3.18-3.32



Computed, not measured: SrLiTl at its PBEsol-relaxed geometry at the meta-GGA SCAN level of DFT.

- DOS at the Fermi energy (states/eV per cell) = 1.2
- formation energy (eV/f.u.) = -1.133
- energy above the lowest structure with this stoichiometry (meV per atom) = 37
- calculated volume (Å³ per cell) = 170.6
- spin magnetization (μB per cell) = 0.0

Cell lengths 3.8972, 3.8972, 11.2337 Å; angles 90.00, 90.00, 90.00 degrees
With the nearest neighbours (Å) after each atom.
Space group I4mm (No. 107)
One atom of each set of equivalent atoms:
Sr  0.0000  0.0000  0.0000 (multiplicity 2)  5 Li 3.33-3.58, 5 Tl 3.48-3.49
Li  0.0000  0.0000  0.7040 (multiplicity 2)  4 Tl 3.00, 1 Sr 3.33
Tl  0.0000  0.0000  0.3105 (multiplicity 2)  4 Li 3.00



Computed, not measured: Y2CoCl at its PBEsol-relaxed geometry at the meta-GGA SCAN level of DFT.

- DOS at the Fermi energy (states/eV per cell) = 2.8
- energy above the lowest structure with this stoichiometry (meV per atom) = 0
- calculated volume (Å³ per cell) = 262.8
- spin magnetization (μB per cell) = 0.0

Cell lengths 3.7488, 3.7488, 21.5898 Å; angles 90.00, 90.00, 120.00 degrees
With the nearest neighbours (Å) after each atom.
Space group R-3m (No. 166, hexagonal axes)
One atom of each set of equivalent atoms:
Y  0.0000  0.0000  0.2341 (multiplicity 6)  3 Co 2.61
Co  0.0000  0.0000  0.5000 (multiplicity 3)  6 Y 2.61
Cl  0.0000  0.0000  0.0000 (multiplicity 3)  6 Y 3.04



Computed, not measured: Hf2Pt2Au at its PBEsol-relaxed geometry at the meta-GGA SCAN level of DFT.

- DOS at the Fermi energy (states/eV per cell) = 4.8
- formation energy (eV/f.u.) = -5.635
- calculated volume (Å³ per cell) = 179.8
- spin magnetization (μB per cell) = 0.0

Cell lengths 7.4047, 7.4047, 3.2788 Å; angles 90.00, 90.00, 90.00 degrees
With the nearest neighbours (Å) after each atom.
Space group P4/mbm (No. 127)
One atom of each set of equivalent atoms:
Hf  0.1700  0.3300  0.0000 (multiplicity 4)  6 Pt 2.66-2.78
Pt  0.1306  0.6306  0.5000 (multiplicity 4)  6 Hf 2.66-2.78, 1 Pt 2.73, 2 Au 2.90
Au  0.0000  0.0000  0.5000 (multiplicity 2)  4 Pt 2.90, 8 Hf 3.20



Computed, not measured: ScCuNi at its PBEsol-relaxed geometry at the meta-GGA SCAN level of DFT.

- DOS at the Fermi energy (states/eV per cell) = 5.1
- formation energy (eV/f.u.) = 1.015
- calculated volume (Å³ per cell) = 202.0
- spin magnetization (μB per cell) = 0.0

Cell lengths 5.8673, 5.8673, 5.8673 Å; angles 90.00, 90.00, 90.00 degrees
With the nearest neighbours (Å) after each atom.
Space group F-43m (No. 216)
One atom of each set of equivalent atoms:
Sc  0.0000  0.0000  0.0000 (multiplicity 4)  4 Cu 2.54, 4 Ni 2.54
Cu  0.2500  0.2500  0.7500 (multiplicity 4)  4 Sc 2.54
Ni  0.2500  0.2500  0.2500 (multiplicity 4)  4 Sc 2.54



Computed, not measured: Cr2CdAgHg at its PBEsol-relaxed geometry at the meta-GGA SCAN level of DFT.

- DOS at the Fermi energy (states/eV per cell) = 2.8
- formation energy (eV/f.u.) = 4.259
- calculated volume (Å³ per cell) = 124.3
- spin magnetization (μB per cell) = 9.2

Cell lengths 4.9600, 4.9600, 5.0529 Å; angles 90.00, 90.00, 90.00 degrees
With the nearest neighbours (Å) after each atom.
Space group P4/mmm (No. 123)
One atom of each set of equivalent atoms:
Cr  0.0000  0.5000  0.0000 (multiplicity 2)  2 Ag 2.48
Cd  0.0000  0.0000  0.5000 (multiplicity 1)  4 Hg 3.51, 8 Cr 3.54
Ag  0.5000  0.5000  0.0000 (multiplicity 1)  4 Cr 2.48, 2 Hg 2.53
Hg  0.5000  0.5000  0.5000 (multiplicity 1)  2 Ag 2.53



Computed, not measured: La2RuBr at its PBEsol-relaxed geometry at the meta-GGA SCAN level of DFT.

- DOS at the Fermi energy (states/eV per cell) = 5.1
- energy above the lowest structure with this stoichiometry (meV per atom) = 190
- calculated volume (Å³ per cell) = 212.9
- spin magnetization (μB per cell) = 0.0

Cell lengths 3.5598, 3.7456, 15.9682 Å; angles 90.00, 90.00, 90.00 degrees
With the nearest neighbours (Å) after each atom.
Space group Imm2 (No. 44)
One atom of each set of equivalent atoms:
La  0.0000  0.0000  0.0000 (multiplicity 2)  2 Ru 2.65
La  0.0000  0.5000  0.2886 (multiplicity 2)  4 Ru 2.99, 2 Br 3.16
Ru  0.0000  0.5000  0.8825 (multiplicity 2)  2 La 2.65
Br  0.0000  0.0000  0.6253 (multiplicity 2)  6 La 3.16-3.27